# 1
# Ti2BiAu2

A relaxed Ti2BiAu2 crystal (PBE-GGA, Alexandria).

Unit cell a=7.9176 b=7.9176 c=3.2073 alpha=90.00 beta=90.00 gamma=90.00
Each line ends with the local moment (μB).
Element x y z (fractional)
Au  0.1292  0.3708  0.0000  0.03
Bi  0.5000  0.5000  0.0000  -0.03
Au  0.6292  0.1292  0.0000  0.03
Ti  0.3388  0.1612  0.5000  0.51
Au  0.8708  0.6292  0.0000  0.03
Ti  0.6612  0.8388  0.5000  0.51
Ti  0.8388  0.3388  0.5000  0.53
Bi  0.0000  0.0000  0.0000  -0.03
Au  0.3708  0.8708  0.0000  0.03
Ti  0.1612  0.6612  0.5000  0.53

## Properties
Space group = P4/mbm
Energy relative to the lowest polymorph listed for this composition = 0.0 meV per atom
Formation enthalpy at 0 K = -67 kJ/mol of formula units
DOS(E_F) = 1.391 states/eV per atom

***

# 2
# TiBiAu3

A relaxed TiBiAu3 crystal (PBE-GGA, Alexandria).

Unit cell a=5.0055 b=5.0055 c=5.0055 alpha=90.00 beta=90.00 gamma=90.00
Each line ends with the local moment (μB).
Element x y z (fractional)
Au  0.0000  0.5000  0.0000  0.04
Au  0.0000  0.0000  0.5000  0.00
Bi  0.5000  0.5000  0.5000  0.01
Au  0.5000  0.0000  0.0000  0.09
Ti  0.0000  0.0000  0.0000  0.85

## Properties
Space group = Pm-3m
Energy relative to the lowest polymorph listed for this composition = 0.0 meV per atom
Formation enthalpy at 0 K = 242 kJ/mol of formula units
DOS(E_F) = 0.874 states/eV per atom

***

# 3
# TiBi2Au

A relaxed TiBi2Au crystal (PBE-GGA, Alexandria).

Unit cell a=4.6176 b=4.6176 c=10.3606 alpha=77.12 beta=77.12 gamma=90.00
Each line ends with the local moment (μB).
Element x y z (fractional)
Bi  0.3750  0.3830  0.7500  -0.01
Au  0.0000  0.0000  0.0000  -0.01
Bi  0.8750  0.8670  0.7500  -0.01
Bi  0.6170  0.1250  0.2500  -0.02
Bi  0.1330  0.6250  0.2500  -0.02
Ti  0.2500  0.7500  0.5000  0.91
Ti  0.5000  0.5000  0.0000  0.91
Au  0.7500  0.2500  0.5000  -0.01

## Properties
Space group = I-42d
Formation enthalpy at 0 K = 91 kJ/mol of formula units
DOS(E_F) = 0.900 states/eV per atom

***

# 4
# Ti2BiAu

A relaxed Ti2BiAu crystal (PBE-GGA, Alexandria).

Unit cell a=4.1462 b=4.2961 c=4.2961 alpha=90.00 beta=90.00 gamma=90.00
Element x y z (fractional)
Ti  0.0000  0.5000  0.0000
Au  0.5000  0.0000  0.0000
Ti  0.0000  0.0000  0.5000
Bi  0.5000  0.5000  0.5000

## Properties
Space group = P4/mmm
Formation enthalpy at 0 K = -63 kJ/mol of formula units
DOS(E_F) = 0.898 states/eV per atom

***

# 5
# Ti2Bi2Au

A relaxed Ti2Bi2Au crystal (PBE-GGA, Alexandria).

Unit cell a=4.8601 b=4.8601 c=6.5674 alpha=68.28 beta=68.28 gamma=90.00
Element x y z (fractional)
Au  0.0000  0.0000  0.0000
Bi  0.3677  0.3677  0.2645
Ti  0.7500  0.2500  0.5000
Ti  0.2500  0.7500  0.5000
Bi  0.6323  0.6323  0.7355

## Properties
Space group = I4/mmm
Energy relative to the lowest polymorph listed for this composition = 462.5 meV per atom
Formation enthalpy at 0 K = 176 kJ/mol of formula units
DOS(E_F) = 0.960 states/eV per atom

***

# 6
# Ti2BiAu2

A relaxed Ti2BiAu2 crystal (PBE-GGA, Alexandria).

Unit cell a=4.1668 b=4.1668 c=6.8640 alpha=72.33 beta=72.33 gamma=90.00
Each line ends with the local moment (μB).
Element x y z (fractional)
Ti  0.7500  0.2500  0.5000  0.18
Au  0.3889  0.3889  0.2221  0.01
Ti  0.2500  0.7500  0.5000  0.18
Bi  0.0000  0.0000  0.0000  -0.01
Au  0.6111  0.6111  0.7779  0.01

## Properties
Space group = I4/mmm
Energy relative to the lowest polymorph listed for this composition = 83.4 meV per atom
Formation enthalpy at 0 K = -27 kJ/mol of formula units
DOS(E_F) = 1.215 states/eV per atom